DFT (GGA-PBE) results for an optimized crystal structure of Ca2Mn.

Cell and atoms, written as CIF:
```
data_Ca2Mn
_symmetry_space_group_name_H-M 'P 63/m m c'
_symmetry_Int_Tables_number 194
_symmetry_space_group_name_Hall '-P 6c 2c'
_cell_length_a 7.2473
_cell_length_b 7.2473
_cell_length_c 8.6866
_cell_angle_alpha 90.00
_cell_angle_beta 90.00
_cell_angle_gamma 120.00
loop_
_atom_site_label
_atom_site_type_symbol
_atom_site_fract_x
_atom_site_fract_y
_atom_site_fract_z
Ca1 Ca 0.0000 0.0000 0.0000
Ca2 Ca 0.1837 0.3674 0.2500
Mn1 Mn 0.3333 0.6667 0.5841
```

Values from the calculation:
energy of formation from the pure elements	0.859	eV/atom
density of states at the Fermi level	1.367	states/eV/atom
crystal system	hexagonal

***

DFT (GGA-PBE) results for an optimized crystal structure of CaMn.

Cell and atoms, written as CIF:
```
data_CaMn
_symmetry_space_group_name_H-M 'P -6 m 2'
_symmetry_Int_Tables_number 187
_symmetry_space_group_name_Hall 'P -6 2'
_cell_length_a 3.4725
_cell_length_b 3.4725
_cell_length_c 4.9514
_cell_angle_alpha 90.00
_cell_angle_beta 90.00
_cell_angle_gamma 120.00
loop_
_atom_site_label
_atom_site_type_symbol
_atom_site_fract_x
_atom_site_fract_y
_atom_site_fract_z
Ca1 Ca 0.0000 0.0000 0.0000
Mn1 Mn 0.6667 0.3333 0.5000
```

Values from the calculation:
energy of formation from the pure elements	0.725	eV/atom
density of states at the Fermi level	1.631	states/eV/atom
crystal system	hexagonal

***

DFT (GGA-PBE) results for an optimized crystal structure of CaMn2.

Cell and atoms, written as CIF:
```
data_CaMn2
_symmetry_space_group_name_H-M 'C 1 m 1'
_symmetry_Int_Tables_number 8
_cell_length_a 9.4469
_cell_length_b 4.0037
_cell_length_c 6.5398
_cell_angle_alpha 90.00
_cell_angle_beta 94.26
_cell_angle_gamma 90.00
loop_
_symmetry_equiv_pos_as_xyz
'x,y,z'
'x,-y,z'
'x+1/2,y+1/2,z'
'x+1/2,-y+1/2,z'
loop_
_atom_site_label
_atom_site_type_symbol
_atom_site_fract_x
_atom_site_fract_y
_atom_site_fract_z
Ca1 Ca 0.0000 0.0000 0.0000
Ca2 Ca 0.2381 0.5000 0.2977
Mn1 Mn 0.0425 0.0000 0.5480
Mn2 Mn 0.1595 0.5000 0.7335
Mn3 Mn 0.3163 0.0000 0.7074
Mn4 Mn 0.4558 0.0000 0.4257
```

Values from the calculation:
energy of formation from the pure elements	0.452	eV/atom
density of states at the Fermi level	0.845	states/eV/atom
crystal system	monoclinic

***

DFT (GGA-PBE) results for an optimized crystal structure of Ca4Mn.

Cell and atoms, written as CIF:
```
data_Ca4Mn
_symmetry_space_group_name_H-M 'I m -3 m'
_symmetry_Int_Tables_number 229
_symmetry_space_group_name_Hall '-I 4 2 3'
_cell_length_a 7.2722
_cell_length_b 7.2722
_cell_length_c 7.2722
_cell_angle_alpha 90.00
_cell_angle_beta 90.00
_cell_angle_gamma 90.00
loop_
_atom_site_label
_atom_site_type_symbol
_atom_site_fract_x
_atom_site_fract_y
_atom_site_fract_z
Ca1 Ca 0.2500 0.2500 0.2500
Mn1 Mn 0.0000 0.0000 0.0000
```

Values from the calculation:
excess energy over the best structure of this formula in the dataset	119	meV/atom
energy of formation from the pure elements	0.454	eV/atom
density of states at the Fermi level	1.215	states/eV/atom
crystal system	cubic

***

DFT (GGA-PBE) results for an optimized crystal structure of CaMn.

Cell and atoms, written as CIF:
```
data_CaMn
_symmetry_space_group_name_H-M 'F m m m'
_symmetry_Int_Tables_number 69
_symmetry_space_group_name_Hall '-F 2 2'
_cell_length_a 3.7621
_cell_length_b 6.4557
_cell_length_c 16.3391
_cell_angle_alpha 90.00
_cell_angle_beta 90.00
_cell_angle_gamma 90.00
loop_
_atom_site_label
_atom_site_type_symbol
_atom_site_fract_x
_atom_site_fract_y
_atom_site_fract_z
Ca1 Ca 0.0000 0.0000 0.1365
Mn1 Mn 0.0000 0.1671 0.5000
```

Values from the calculation:
energy of formation from the pure elements	0.308	eV/atom
density of states at the Fermi level	1.627	states/eV/atom
crystal system	orthorhombic

***

DFT (GGA-PBE) results for an optimized crystal structure of CaMn2Mo.

Cell and atoms, written as CIF:
```
data_CaMn2Mo
_symmetry_space_group_name_H-M 'P 4 m m'
_symmetry_Int_Tables_number 99
_cell_length_a 3.1101
_cell_length_b 3.1101
_cell_length_c 7.0981
_cell_angle_alpha 90.00
_cell_angle_beta 90.00
_cell_angle_gamma 90.00
loop_
_symmetry_equiv_pos_as_xyz
'x,y,z'
'-y,x,z'
'-x,-y,z'
'y,-x,z'
'-x,y,z'
'y,x,z'
'x,-y,z'
'-y,-x,z'
loop_
_atom_site_label
_atom_site_type_symbol
_atom_site_fract_x
_atom_site_fract_y
_atom_site_fract_z
Ca1 Ca 0.0000 0.0000 0.0000
Mn1 Mn 0.0000 0.0000 0.4601
Mn2 Mn 0.5000 0.5000 0.3250
Mo1 Mo 0.5000 0.5000 0.6514
```

Values from the calculation:
excess energy over the best structure of this formula in the dataset	203	meV/atom
energy of formation from the pure elements	0.569	eV/atom
density of states at the Fermi level	1.449	states/eV/atom
crystal system	tetragonal

***

DFT (GGA-PBE) results for an optimized crystal structure of CaMn2Mo.

Cell and atoms, written as CIF:
```
data_CaMn2Mo
_symmetry_space_group_name_H-M 'P 4/m m m'
_symmetry_Int_Tables_number 123
_symmetry_space_group_name_Hall '-P 4 2'
_cell_length_a 4.7296
_cell_length_b 4.7296
_cell_length_c 3.0358
_cell_angle_alpha 90.00
_cell_angle_beta 90.00
_cell_angle_gamma 90.00
loop_
_atom_site_label
_atom_site_type_symbol
_atom_site_fract_x
_atom_site_fract_y
_atom_site_fract_z
Ca1 Ca 0.0000 0.0000 0.0000
Mn1 Mn 0.0000 0.5000 0.5000
Mo1 Mo 0.5000 0.5000 0.0000
```

Values from the calculation:
excess energy over the best structure of this formula in the dataset	301	meV/atom
energy of formation from the pure elements	0.666	eV/atom
density of states at the Fermi level	1.194	states/eV/atom
crystal system	tetragonal

***

DFT (GGA-PBE) results for an optimized crystal structure of CaMn3Mo.

Cell and atoms, written as CIF:
```
data_CaMn3Mo
_symmetry_space_group_name_H-M 'P m -3 m'
_symmetry_Int_Tables_number 221
_symmetry_space_group_name_Hall '-P 4 2 3'
_cell_length_a 4.7396
_cell_length_b 4.7396
_cell_length_c 4.7396
_cell_angle_alpha 90.00
_cell_angle_beta 90.00
_cell_angle_gamma 90.00
loop_
_atom_site_label
_atom_site_type_symbol
_atom_site_fract_x
_atom_site_fract_y
_atom_site_fract_z
Ca1 Ca 0.0000 0.0000 0.0000
Mn1 Mn 0.0000 0.5000 0.5000
Mo1 Mo 0.5000 0.5000 0.5000
```

Values from the calculation:
excess energy over the best structure of this formula in the dataset	0	meV/atom
energy of formation from the pure elements	0.850	eV/atom
density of states at the Fermi level	1.687	states/eV/atom
crystal system	cubic

***

DFT (GGA-PBE) results for an optimized crystal structure of CaMn2Mo.

Cell and atoms, written as CIF:
```
data_CaMn2Mo
_symmetry_space_group_name_H-M 'C 1 m 1'
_symmetry_Int_Tables_number 8
_cell_length_a 9.7619
_cell_length_b 2.9112
_cell_length_c 5.2047
_cell_angle_alpha 90.00
_cell_angle_beta 107.96
_cell_angle_gamma 90.00
loop_
_symmetry_equiv_pos_as_xyz
'x,y,z'
'x,-y,z'
'x+1/2,y+1/2,z'
'x+1/2,-y+1/2,z'
loop_
_atom_site_label
_atom_site_type_symbol
_atom_site_fract_x
_atom_site_fract_y
_atom_site_fract_z
Ca1 Ca 0.0000 0.0000 0.0000
Mn1 Mn 0.2890 0.5000 0.3113
Mn2 Mn 0.4994 0.0000 0.4995
Mo1 Mo 0.2061 0.0000 0.6546
```

Values from the calculation:
excess energy over the best structure of this formula in the dataset	213	meV/atom
energy of formation from the pure elements	0.579	eV/atom
density of states at the Fermi level	0.912	states/eV/atom
crystal system	monoclinic

***

DFT (GGA-PBE) results for an optimized crystal structure of CaMn2Mo.

Cell and atoms, written as CIF:
```
data_CaMn2Mo
_symmetry_space_group_name_H-M 'C 1 2/m 1'
_symmetry_Int_Tables_number 12
_cell_length_a 8.3453
_cell_length_b 2.8894
_cell_length_c 6.3685
_cell_angle_alpha 90.00
_cell_angle_beta 94.43
_cell_angle_gamma 90.00
loop_
_symmetry_equiv_pos_as_xyz
'x,y,z'
'-x,-y,-z'
'-x,y,-z'
'x,-y,z'
'x+1/2,y+1/2,z'
'-x+1/2,-y+1/2,-z'
'-x+1/2,y+1/2,-z'
'x+1/2,-y+1/2,z'
loop_
_atom_site_label
_atom_site_type_symbol
_atom_site_fract_x
_atom_site_fract_y
_atom_site_fract_z
Ca1 Ca 0.0000 0.0000 0.0000
Mn1 Mn 0.2386 0.0000 0.6714
Mo1 Mo 0.0000 0.5000 0.5000
```

Values from the calculation:
excess energy over the best structure of this formula in the dataset	180	meV/atom
energy of formation from the pure elements	0.545	eV/atom
density of states at the Fermi level	0.753	states/eV/atom
crystal system	monoclinic